# 1
Entry from the Alexandria database: a geometry-optimized SrYCo2 structure (PBE-GGA).

The structure in POSCAR format:
```
SrYCo2
1.0
-2.860 0.283 4.370
-0.153 -2.615 4.527
2.441 2.605 5.982
Y Co Sr
1 2 1
direct
0.250 0.250 0.250 Y
0.999 0.999 0.187 Co
0.501 0.501 0.313 Co
0.750 0.750 0.750 Sr
```

Summary:
SG ... C2/m (12)
Formation enthalpy at 0 K ... 0.7 eV/f.u.
V ... 108.0 Å³/f.u.
Size of the total moment ... 0.273 μB/atom

# 2
Entry from the Alexandria database: a geometry-optimized K3BiP structure (PBE-GGA).

The structure in POSCAR format:
```
K3BiP
1.0
6.209 0.000 0.000
0.000 6.209 0.000
0.000 0.000 6.209
K P Bi
3 1 1
direct
0.000 0.000 0.500 K
0.000 0.500 0.000 K
0.500 0.000 0.000 K
0.000 0.000 0.000 P
0.500 0.500 0.500 Bi
```

Summary:
SG ... Pm-3m (221)
Formation enthalpy at 0 K ... 0.5 eV/f.u.
V ... 239.3 Å³/f.u.
Size of the total moment ... 0.600 μB/atom

# 3
Entry from the Alexandria database: a geometry-optimized Pr6NdTm2 structure (PBE-GGA).

The structure in POSCAR format:
```
Pr6NdTm2
1.0
-3.268 2.419 9.376
8.306 -5.567 -2.112
1.702 3.235 -0.535
Pr Tm Nd
6 2 1
direct
0.500 0.841 0.817 Pr
0.841 0.500 0.817 Pr
0.332 0.332 0.681 Pr
0.500 0.159 0.183 Pr
0.668 0.668 0.319 Pr
0.159 0.500 0.183 Pr
0.164 0.836 0.500 Tm
0.836 0.164 0.500 Tm
0.000 0.000 0.000 Nd
```

Summary:
SG ... C2/m (12)
Formation enthalpy at 0 K ... 0.9 eV/f.u.
V ... 310.7 Å³/f.u.
Size of the total moment ... 0.000 μB/atom

# 4
Entry from the Alexandria database: a geometry-optimized MgTa3F structure (PBE-GGA).

The structure in POSCAR format:
```
MgTa3F
1.0
-4.738 -0.624 -0.140
0.178 -0.284 -4.769
0.614 -4.732 0.305
Ta F Mg
3 1 1
direct
0.000 0.000 0.500 Ta
0.000 0.500 0.000 Ta
0.500 0.000 0.000 Ta
0.500 0.500 0.500 F
0.000 0.000 0.000 Mg
```

Summary:
Formation energy (no corrections) ... 10.49 eV per formula unit
SG ... Pm-3m (221)
V ... 109.3 Å³/f.u.
Size of the total moment ... 0.000 μB/atom

# 5
Entry from the Alexandria database: a geometry-optimized ThTlCd2 structure (PBE-GGA).

The structure in POSCAR format:
```
ThTlCd2
1.0
4.853 0.000 0.000
0.000 4.681 0.000
0.000 0.000 4.681
Tl Cd Th
1 2 1
direct
0.500 0.000 0.000 Tl
0.000 0.000 0.500 Cd
0.000 0.500 0.000 Cd
0.500 0.500 0.500 Th
```

Summary:
SG ... P4/mmm (123)
Formation enthalpy at 0 K ... -0.5 eV/f.u.
V ... 106.4 Å³/f.u.
Size of the total moment ... 0.000 μB/atom

# 6
Entry from the Alexandria database: a geometry-optimized Sm3Th4 structure (PBE-GGA).

The structure in POSCAR format:
```
Sm3Th4
1.0
-1.066 3.283 -1.023
-2.903 -0.285 2.110
7.132 8.669 14.054
Sm Th
3 4
direct
0.000 0.000 0.000 Sm
0.289 0.289 0.423 Sm
0.711 0.711 0.577 Sm
0.859 0.859 0.282 Th
0.427 0.427 0.146 Th
0.141 0.141 0.718 Th
0.573 0.573 0.854 Th
```

Summary:
SG ... I4/mmm (139)
Formation enthalpy at 0 K ... 0.3 eV/f.u.
V ... 230.8 Å³/f.u.
Size of the total moment ... 0.000 μB/atom